{"formula": "Na3LiU2Se6", "functional": "PBE-GGA", "state": "relaxed", "lattice": [[3.5854, -6.2089, 0.0000], [3.5854, 6.2089, 0.0000], [-2.3883, 0.0000, 6.9245]], "species": ["Na", "Na", "Na", "Li", "U", "U", "Se", "Se", "Se", "Se", "Se", "Se"], "frac_coords": [[0.0000, 0.0000, 0.0000], [0.3363, 0.6637, 0.0000], [0.6637, 0.3363, 0.0000], [0.5000, 0.5000, 0.5000], [0.1669, 0.8331, 0.5000], [0.8331, 0.1669, 0.5000], [0.0835, 0.4244, 0.2736], [0.2348, 0.2348, 0.7271], [0.4244, 0.0835, 0.2736], [0.5756, 0.9165, 0.7264], [0.7652, 0.7652, 0.2729], [0.9165, 0.5756, 0.7264]], "magnetic_moment_mub_per_atom": 0.333, "raw_formation_energy_ev_per_atom": -1.23}